The following is a GGA-PBEsol calculation of crystalline YSF3 at its relaxed geometry, from the Alexandria database.

```
YSF3
1.0
-3.148 0.875 -2.897
-3.020 -0.638 3.089
0.196 4.230 1.065
F S Y
3 1 1
direct
0.500 0.000 0.000 F
0.000 0.500 0.000 F
0.000 0.000 0.500 F
0.500 0.500 0.500 S
0.000 0.000 0.000 Y
```

Values from the calculation:
- total moment (μB per formula unit) = 2.00
- SG = No. 221
- final energy (eV per atom) = -6.032
- E_form (uncorrected) (eV per atom) = -2.6342